Entry 1:
Computed, not measured: crystalline Pr3Nd4SmS8 at its relaxed geometry at the PBE-GGA level of DFT.

Lattice parameters (Å, degrees): 8.1554 8.1554 19.9688 90.00 90.00 120.00
Space group R-3m (No. 166, hexagonal axes)
Inequivalent atoms, fractional coordinates:
Pr1 0.0000 0.5000 0.0000 (multiplicity 9)
Nd1 0.0000 0.0000 0.5000 (multiplicity 3)
Nd2 0.0000 0.5000 0.5000 (multiplicity 9)
Sm1 0.0000 0.0000 0.0000 (multiplicity 3)
S1 0.0000 0.0000 0.2488 (multiplicity 6)
S2 0.0043 0.5021 0.7501 (multiplicity 18)

Properties
Formation energy without anion corrections, eV per atom: -2.018
Calculated volume, A^3/atom: 23.96

---

Entry 2:
Computed, not measured: crystalline PrNd4SmS8 at its relaxed geometry at the PBE-GGA level of DFT.

Lattice parameters (Å, degrees): 8.3398 8.3398 20.4689 90.00 90.00 120.00
Space group R3m (No. 160, hexagonal axes)
Inequivalent atoms, fractional coordinates:
Pr1 0.0000 0.0000 0.0000 (multiplicity 3)
Nd1 0.0000 0.0000 0.3753 (multiplicity 3)
Nd2 0.0012 0.5006 0.5007 (multiplicity 9)
Sm1 0.0000 0.0000 0.6258 (multiplicity 3)
S1 0.0000 0.0000 0.2425 (multiplicity 3)
S2 0.0000 0.0000 0.7570 (multiplicity 3)
S3 0.0196 0.5098 0.7538 (multiplicity 9)
S4 0.1742 0.3484 0.5811 (multiplicity 9)

Properties
Formation energy without anion corrections, eV per atom: -1.905
Calculated volume, A^3/atom: 29.36

---

Entry 3:
Computed, not measured: crystalline PrNdSmS3 at its relaxed geometry at the PBE-GGA level of DFT.

Lattice parameters (Å, degrees): 7.0279 3.9640 10.5904 90.00 102.40 90.00
Space group P2_1/m (No. 11)
Inequivalent atoms, fractional coordinates:
Pr1 0.1548 0.2500 0.1972 (multiplicity 2)
Nd1 0.3744 0.2500 0.8702 (multiplicity 2)
Sm1 0.2668 0.7500 0.5552 (multiplicity 2)
S1 0.0447 0.2500 0.6612 (multiplicity 2)
S2 0.2140 0.7500 0.0059 (multiplicity 2)
S3 0.4447 0.7500 0.3427 (multiplicity 2)

Properties
Formation energy without anion corrections, eV per atom: -1.924
Calculated volume, A^3/atom: 24.01

---

Entry 4:
Computed, not measured: crystalline SrPr2NdS4 at its relaxed geometry at the PBE-GGA level of DFT.

Lattice parameters (Å, degrees): 7.1613 4.1049 7.1685 90.00 109.10 90.00
Space group P2/m (No. 10)
Inequivalent atoms, fractional coordinates:
Sr1 0.0000 0.0000 0.0000 (multiplicity 1)
Pr1 0.0000 0.5000 0.5000 (multiplicity 1)
Pr2 0.5000 0.0000 0.5000 (multiplicity 1)
Nd1 0.5000 0.5000 0.0000 (multiplicity 1)
S1 0.2528 0.0000 0.7515 (multiplicity 2)
S2 0.2542 0.5000 0.2520 (multiplicity 2)

Properties
Formation energy without anion corrections, eV per atom: -2.027
Calculated volume, A^3/atom: 24.89

---

Entry 5:
Computed, not measured: crystalline SrPr3Nd2S6 at its relaxed geometry at the PBE-GGA level of DFT.

Lattice parameters (Å, degrees): 7.1193 12.3402 7.1304 90.00 109.36 90.00
Space group C2/m (No. 12)
Inequivalent atoms, fractional coordinates:
Sr1 0.0000 0.0000 0.0000 (multiplicity 2)
Pr1 0.0000 0.1648 0.5000 (multiplicity 4)
Pr2 0.0000 0.5000 0.5000 (multiplicity 2)
Nd1 0.0000 0.3331 0.0000 (multiplicity 4)
S1 0.2460 0.5000 0.2463 (multiplicity 4)
S2 0.2486 0.3319 0.7498 (multiplicity 8)

Properties
Formation energy without anion corrections, eV per atom: -2.024
Calculated volume, A^3/atom: 24.63

---

Entry 6:
Computed, not measured: crystalline SrPr4NdS8 at its relaxed geometry at the PBE-GGA level of DFT.

Lattice parameters (Å, degrees): 8.4731 8.4731 20.7032 90.00 90.00 120.00
Space group R3m (No. 160, hexagonal axes)
Inequivalent atoms, fractional coordinates:
Sr1 0.0000 0.0000 0.0000 (multiplicity 3)
Pr1 0.0000 0.0000 0.2497 (multiplicity 3)
Pr2 0.1689 0.3379 0.4576 (multiplicity 9)
Nd1 0.0000 0.0000 0.6266 (multiplicity 3)
S1 0.0000 0.0000 0.3827 (multiplicity 3)
S2 0.0000 0.0000 0.8631 (multiplicity 3)
S3 0.0326 0.5163 0.3781 (multiplicity 9)
S4 0.1779 0.3557 0.2061 (multiplicity 9)

Properties
Formation energy without anion corrections, eV per atom: -1.961
Calculated volume, A^3/atom: 30.65

---

Number 1: DFT total energy -6.4651 eV/atom. Number 2: DFT total energy -6.3038 eV/atom. Number 3: DFT total energy -6.3657 eV/atom. Number 4: DFT total energy -6.0916 eV/atom. Number 5: DFT total energy -6.2177 eV/atom. Number 6: DFT total energy -6.1454 eV/atom.